1.
A plane-wave DFT calculation with PBE-GGA was carried out for crystalline TcRu3Rh at its relaxed geometry.

Unit cell a=4.584 b=4.584 c=4.584 alpha=90.00 beta=90.00 gamma=90.00
Last column: magnetic moment on the atom in μB.
Fractional positions:
1 Ru 0.000 0.500 0.000  0.89
2 Ru 0.000 0.000 0.500  0.84
3 Ru 0.500 0.000 0.000  0.89
4 Rh 0.500 0.500 0.500  1.05
5 Tc 0.000 0.000 0.000  -0.08

Results
The formation energy comes out at 8.93 eV per formula unit. Its excess energy over the best structure of this formula in the dataset is 1831 meV per atom.

---

2.
A plane-wave DFT calculation with PBE-GGA was carried out for crystalline Tc2RuRh8 at its relaxed geometry.

Unit cell a=4.432 b=6.618 c=6.618 alpha=73.10 beta=79.25 gamma=79.25
Fractional positions:
1 Tc 0.457 0.142 0.142
2 Tc 0.543 0.858 0.858
3 Ru 0.000 0.000 0.000
4 Rh 0.769 0.182 0.642
5 Rh 0.231 0.358 0.818
6 Rh 0.892 0.245 0.245
7 Rh 0.108 0.755 0.755
8 Rh 0.769 0.642 0.182
9 Rh 0.231 0.818 0.358
10 Rh 0.282 0.407 0.407
11 Rh 0.718 0.593 0.593

Results
The formation energy comes out at 5.70 eV per formula unit.